#P
Material: YTc2Mo2
Method: DFT, PBE
State: optimized geometry

a = 4.3493 Å, b = 4.3493 Å, c = 6.0136 Å
α = 68.80°, β = 68.80°, γ = 90.00°
Positions (direct):
Y: 0.0000 0.0000 0.0000
Mo: 0.7500 0.2500 0.5000
Mo: 0.2500 0.7500 0.5000
Tc: 0.6232 0.6232 0.7536
Tc: 0.3768 0.3768 0.2464

Results
- calculated volume (Å³ per atom) = 19.6
- size of the total moment (μB per formula unit) = 0.0
- DOS(E_F) (states/eV/atom) = 0.744

#Q
Material: YTc2Mo2
Method: DFT, PBE
State: optimized geometry

a = 7.7626 Å, b = 7.7626 Å, c = 2.9230 Å
α = 90.00°, β = 90.00°, γ = 90.00°
Positions (direct):
Y: 0.5000 0.5000 0.0000
Y: 0.0000 0.0000 0.0000
Tc: 0.3534 0.1466 0.5000
Tc: 0.8534 0.3534 0.5000
Tc: 0.1466 0.6466 0.5000
Tc: 0.6466 0.8534 0.5000
Mo: 0.8552 0.6448 0.0000
Mo: 0.6448 0.1448 0.0000
Mo: 0.3552 0.8552 0.0000
Mo: 0.1448 0.3552 0.0000

Results
- calculated volume (Å³ per atom) = 17.6
- size of the total moment (μB per formula unit) = 0.0
- DOS(E_F) (states/eV/atom) = 0.961

Stability check: which of them is least stable? #Q.

#P
Material: ZnTcMo
Method: DFT, PBE
State: optimized geometry

a = 4.9224 Å, b = 4.9224 Å, c = 4.9224 Å
α = 142.08°, β = 142.08°, γ = 54.70°
Positions (direct):
Mo: 0.9917 0.9917 0.0000
Tc: 0.3403 0.3403 0.0000
Zn: 0.6680 0.6680 0.0000

Results
- calculated volume (Å³ per atom) = 14.9
- size of the total moment (μB per formula unit) = 0.0
- DOS(E_F) (states/eV/atom) = 0.893

#Q
Material: ZnTcMo
Method: DFT, PBE
State: optimized geometry

a = 2.9991 Å, b = 4.7764 Å, c = 14.0166 Å
α = 141.91°, β = 83.86°, γ = 71.70°
Positions (direct):
Tc: 0.0718 0.5902 0.2662
Tc: 0.9282 0.4098 0.7338
Zn: 0.7607 0.4241 0.0544
Zn: 0.2393 0.5759 0.9456
Mo: 0.5856 0.4495 0.3794
Mo: 0.4144 0.5505 0.6206

Results
- calculated volume (Å³ per atom) = 15.6
- size of the total moment (μB per formula unit) = 0.0
- DOS(E_F) (states/eV/atom) = 0.667

Stability check: which of them is least stable? #Q.

#P
Material: ZnTcMo
Method: DFT, PBE
State: optimized geometry

a = 2.8140 Å, b = 2.8140 Å, c = 6.6333 Å
α = 90.00°, β = 90.00°, γ = 120.00°
Positions (direct):
Mo: 0.0000 0.0000 0.0106
Zn: 0.3333 0.6667 0.6620
Tc: 0.6667 0.3333 0.3274

Results
- calculated volume (Å³ per atom) = 15.2
- size of the total moment (μB per formula unit) = 0.0
- DOS(E_F) (states/eV/atom) = 0.873

#Q
Material: ZnTcMo
Method: DFT, PBE
State: optimized geometry

a = 4.4006 Å, b = 4.4006 Å, c = 2.6654 Å
α = 90.00°, β = 90.00°, γ = 120.00°
Positions (direct):
Tc: 0.3333 0.6667 0.2966
Mo: 0.0000 0.0000 0.0483
Zn: 0.6667 0.3333 0.6550

Results
- calculated volume (Å³ per atom) = 14.9
- size of the total moment (μB per formula unit) = 0.0
- DOS(E_F) (states/eV/atom) = 0.684

#R
Material: ZnTcMo
Method: DFT, PBE
State: optimized geometry

a = 7.0160 Å, b = 6.8357 Å, c = 2.6955 Å
α = 82.57°, β = 75.04°, γ = 22.39°
Positions (direct):
Zn: 0.6679 0.6679 0.3321
Mo: 0.9965 0.9965 0.0035
Tc: 0.3356 0.3356 0.6644

Results
- calculated volume (Å³ per atom) = 15.1
- size of the total moment (μB per formula unit) = 0.0
- DOS(E_F) (states/eV/atom) = 0.943

Stability check: which of them is least stable? #R.

#P
Material: ZnTcMo
Method: DFT, PBE
State: optimized geometry

a = 4.3275 Å, b = 4.3160 Å, c = 6.9806 Å
α = 128.19°, β = 72.25°, γ = 119.91°
Positions (direct):
Tc: 0.0018 0.7513 0.7500
Tc: 0.9982 0.2487 0.2500
Zn: 0.6680 0.2595 0.9256
Zn: 0.3320 0.7405 0.0744
Mo: 0.6666 0.7444 0.4106
Mo: 0.3334 0.2556 0.5894

Results
- calculated volume (Å³ per atom) = 14.8
- size of the total moment (μB per formula unit) = 0.0
- DOS(E_F) (states/eV/atom) = 0.619

#Q
Material: ZnTcMo
Method: DFT, PBE
State: optimized geometry

a = 4.7112 Å, b = 4.7112 Å, c = 4.7112 Å
α = 146.23°, β = 129.40°, γ = 62.22°
Positions (direct):
Mo: 0.0011 0.0011 0.0000
Tc: 0.3310 0.3310 0.0000
Zn: 0.6679 0.6679 0.0000

Results
- calculated volume (Å³ per atom) = 14.8
- size of the total moment (μB per formula unit) = 0.0
- DOS(E_F) (states/eV/atom) = 0.694

Stability check: which of them is least stable? #Q.